A plane-wave DFT calculation with PBE was carried out for a relaxed Y3ZnI crystal.

```
data_Y3ZnI
_cell_length_a 5.477
_cell_length_b 5.477
_cell_length_c 5.477
_cell_angle_alpha 90.00
_cell_angle_beta 90.00
_cell_angle_gamma 90.00
_symmetry_space_group_name_H-M 'P m -3 m'
_symmetry_Int_Tables_number 221
_symmetry_space_group_name_Hall '-P 4 2 3'
loop_
_atom_site_label
_atom_site_type_symbol
_atom_site_fract_x
_atom_site_fract_y
_atom_site_fract_z
Y1 Y 0.000 0.000 0.500
Zn1 Zn 0.000 0.000 0.000
I1 I 0.500 0.500 0.500
```

Output
Energy above the most stable polymorph in this dataset: 0.000 eV/atom
Total energy: -22.21 eV/cell
Size of the total moment: 0.00 μB/cell
ΔE_f (raw): 0.002 eV per atom


A plane-wave DFT calculation with PBE was carried out for a relaxed Y2CrCl crystal.

```
data_Y2CrCl
_cell_length_a 3.432
_cell_length_b 3.432
_cell_length_c 9.664
_cell_angle_alpha 90.00
_cell_angle_beta 90.00
_cell_angle_gamma 90.00
_symmetry_space_group_name_H-M 'P 4 m m'
_symmetry_Int_Tables_number 99
loop_
_symmetry_equiv_pos_as_xyz
'x,y,z'
'-y,x,z'
'-x,-y,z'
'y,-x,z'
'-x,y,z'
'y,x,z'
'x,-y,z'
'-y,-x,z'
loop_
_atom_site_label
_atom_site_type_symbol
_atom_site_fract_x
_atom_site_fract_y
_atom_site_fract_z
Y1 Y 0.000 0.000 0.000
Y2 Y 0.500 0.500 0.284
Cr1 Cr 0.500 0.500 0.795
Cl1 Cl 0.000 0.000 0.451
```

Output
Energy above the most stable polymorph in this dataset: 0.322 eV/atom
Total energy: -24.98 eV/cell
Size of the total moment: 3.86 μB/cell
ΔE_f (raw): -0.147 eV per atom


A plane-wave DFT calculation with PBE was carried out for a relaxed TbErMgMn crystal.

```
data_TbErMgMn
_cell_length_a 7.305
_cell_length_b 7.305
_cell_length_c 7.305
_cell_angle_alpha 90.00
_cell_angle_beta 90.00
_cell_angle_gamma 90.00
_symmetry_space_group_name_H-M 'F -4 3 m'
_symmetry_Int_Tables_number 216
_symmetry_space_group_name_Hall 'F -4 2 3'
loop_
_atom_site_label
_atom_site_type_symbol
_atom_site_fract_x
_atom_site_fract_y
_atom_site_fract_z
Tb1 Tb 0.000 0.000 0.000
Er1 Er 0.000 0.000 0.500
Mg1 Mg 0.250 0.250 0.750
Mn1 Mn 0.250 0.250 0.250
```

Output
Total energy: -78.31 eV/cell
Size of the total moment: 12.67 μB/cell
Energy of formation: 0.4 eV per formula unit


A plane-wave DFT calculation with PBE was carried out for a relaxed SmPuZnTc crystal.

```
data_SmPuZnTc
_cell_length_a 7.015
_cell_length_b 7.015
_cell_length_c 7.015
_cell_angle_alpha 90.00
_cell_angle_beta 90.00
_cell_angle_gamma 90.00
_symmetry_space_group_name_H-M 'F -4 3 m'
_symmetry_Int_Tables_number 216
_symmetry_space_group_name_Hall 'F -4 2 3'
loop_
_atom_site_label
_atom_site_type_symbol
_atom_site_fract_x
_atom_site_fract_y
_atom_site_fract_z
Sm1 Sm 0.000 0.000 0.000
Pu1 Pu 0.000 0.000 0.500
Zn1 Zn 0.250 0.250 0.750
Tc1 Tc 0.250 0.250 0.250
```

Output
Total energy: -121.93 eV/cell
Size of the total moment: 20.53 μB/cell
Energy of formation: 0.2 eV per formula unit


A plane-wave DFT calculation with PBE was carried out for a relaxed BaPO3 crystal.

```
data_BaPO3
_cell_length_a 4.677
_cell_length_b 4.677
_cell_length_c 4.677
_cell_angle_alpha 90.00
_cell_angle_beta 90.00
_cell_angle_gamma 90.00
_symmetry_space_group_name_H-M 'P m -3 m'
_symmetry_Int_Tables_number 221
_symmetry_space_group_name_Hall '-P 4 2 3'
loop_
_atom_site_label
_atom_site_type_symbol
_atom_site_fract_x
_atom_site_fract_y
_atom_site_fract_z
Ba1 Ba 0.000 0.000 0.000
P1 P 0.500 0.500 0.500
O1 O 0.000 0.000 0.500
```

Output
Total energy: -19.39 eV/cell
Size of the total moment: 2.02 μB/cell
ΔE_f (raw): 0.563 eV per atom


A plane-wave DFT calculation with PBE was carried out for a relaxed BaNbAsSe2 crystal.

```
data_BaNbAsSe2
_cell_length_a 5.834
_cell_length_b 5.834
_cell_length_c 5.632
_cell_angle_alpha 90.00
_cell_angle_beta 90.00
_cell_angle_gamma 90.00
_symmetry_space_group_name_H-M 'P 4/m m m'
_symmetry_Int_Tables_number 123
_symmetry_space_group_name_Hall '-P 4 2'
loop_
_atom_site_label
_atom_site_type_symbol
_atom_site_fract_x
_atom_site_fract_y
_atom_site_fract_z
Ba1 Ba 0.000 0.000 0.000
Nb1 Nb 0.500 0.500 0.500
As1 As 0.000 0.000 0.500
Se1 Se 0.000 0.500 0.000
```

Output
Energy above the most stable polymorph in this dataset: 2.111 eV/atom
Total energy: -17.74 eV/cell
Size of the total moment: 1.83 μB/cell
ΔE_f (raw): 1.175 eV per atom


A plane-wave DFT calculation with PBE was carried out for a relaxed Th4Al12Pd crystal.

```
data_Th4Al12Pd
_cell_length_a 8.890
_cell_length_b 8.890
_cell_length_c 8.890
_cell_angle_alpha 90.00
_cell_angle_beta 90.00
_cell_angle_gamma 90.00
_symmetry_space_group_name_H-M 'I m -3 m'
_symmetry_Int_Tables_number 229
_symmetry_space_group_name_Hall '-I 4 2 3'
loop_
_atom_site_label
_atom_site_type_symbol
_atom_site_fract_x
_atom_site_fract_y
_atom_site_fract_z
Th1 Th 0.250 0.250 0.250
Al1 Al 0.000 0.000 0.299
Al2 Al 0.000 0.250 0.500
Pd1 Pd 0.000 0.000 0.000
```

Output
Total energy: -174.97 eV/cell
Size of the total moment: 0.00 μB/cell
Energy of formation: -7.7 eV per formula unit


A plane-wave DFT calculation with PBE was carried out for a relaxed La2Al6PdAu crystal.

```
data_La2Al6PdAu
_cell_length_a 6.549
_cell_length_b 6.551
_cell_length_c 6.874
_cell_angle_alpha 61.65
_cell_angle_beta 61.62
_cell_angle_gamma 60.03
_symmetry_space_group_name_H-M 'P -1'
_symmetry_Int_Tables_number 2
loop_
_symmetry_equiv_pos_as_xyz
'x,y,z'
'-x,-y,-z'
loop_
_atom_site_label
_atom_site_type_symbol
_atom_site_fract_x
_atom_site_fract_y
_atom_site_fract_z
La1 La 0.196 0.195 0.414
Al1 Al 0.166 0.635 0.872
Al2 Al 0.328 0.166 0.871
Al3 Al 0.365 0.672 0.128
Pd1 Pd 0.000 0.000 0.000
Au1 Au 0.500 0.500 0.500
```

Output
Total energy: -45.63 eV/cell
Size of the total moment: 0.00 μB/cell
Energy of formation: -4.8 eV per formula unit


A plane-wave DFT calculation with PBE was carried out for a relaxed PaPd2Pt5 crystal.

```
data_PaPd2Pt5
_cell_length_a 7.097
_cell_length_b 7.097
_cell_length_c 11.053
_cell_angle_alpha 90.00
_cell_angle_beta 90.00
_cell_angle_gamma 90.00
_symmetry_space_group_name_H-M 'I 4/m c m'
_symmetry_Int_Tables_number 140
_symmetry_space_group_name_Hall '-I 4 2c'
loop_
_atom_site_label
_atom_site_type_symbol
_atom_site_fract_x
_atom_site_fract_y
_atom_site_fract_z
Pa1 Pa 0.000 0.000 0.250
Pd1 Pd 0.149 0.351 0.000
Pt1 Pt 0.000 0.000 0.000
Pt2 Pt 0.146 0.354 0.335
```

Output
Energy above the most stable polymorph in this dataset: 0.146 eV/atom
Total energy: -214.24 eV/cell
Size of the total moment: 0.00 μB/cell
Energy of formation: -3.5 eV per formula unit


A plane-wave DFT calculation with PBE was carried out for a relaxed CoWBr2 crystal.

```
data_CoWBr2
_cell_length_a 3.144
_cell_length_b 4.826
_cell_length_c 12.041
_cell_angle_alpha 90.00
_cell_angle_beta 90.00
_cell_angle_gamma 90.00
_symmetry_space_group_name_H-M 'I m m 2'
_symmetry_Int_Tables_number 44
loop_
_symmetry_equiv_pos_as_xyz
'x,y,z'
'-x,-y,z'
'-x,y,z'
'x,-y,z'
'x+1/2,y+1/2,z+1/2'
'-x+1/2,-y+1/2,z+1/2'
'-x+1/2,y+1/2,z+1/2'
'x+1/2,-y+1/2,z+1/2'
loop_
_atom_site_label
_atom_site_type_symbol
_atom_site_fract_x
_atom_site_fract_y
_atom_site_fract_z
Co1 Co 0.000 0.000 0.000
W1 W 0.000 0.500 0.643
Br1 Br 0.000 0.000 0.328
Br2 Br 0.000 0.500 0.117
```

Output
Energy above the most stable polymorph in this dataset: 0.661 eV/atom
Total energy: -40.06 eV/cell
Size of the total moment: 2.70 μB/cell
ΔE_f (raw): 0.843 eV per atom


A plane-wave DFT calculation with PBE was carried out for a relaxed LaPm12Sm3 crystal.

```
data_LaPm12Sm3
_cell_length_a 5.167
_cell_length_b 5.167
_cell_length_c 20.659
_cell_angle_alpha 90.00
_cell_angle_beta 90.00
_cell_angle_gamma 90.00
_symmetry_space_group_name_H-M 'P 4/m m m'
_symmetry_Int_Tables_number 123
_symmetry_space_group_name_Hall '-P 4 2'
loop_
_atom_site_label
_atom_site_type_symbol
_atom_site_fract_x
_atom_site_fract_y
_atom_site_fract_z
La1 La 0.000 0.000 0.000
Pm1 Pm 0.000 0.500 0.127
Pm2 Pm 0.000 0.500 0.375
Pm3 Pm 0.500 0.500 0.000
Pm4 Pm 0.500 0.500 0.252
Pm5 Pm 0.500 0.500 0.500
Sm1 Sm 0.000 0.000 0.251
Sm2 Sm 0.000 0.000 0.500
```

Output
Total energy: -75.87 eV/cell
Size of the total moment: 0.00 μB/cell
Energy of formation: 0.2 eV per formula unit


A plane-wave DFT calculation with PBE was carried out for a relaxed Cu2ClO crystal.

```
data_Cu2ClO
_cell_length_a 4.867
_cell_length_b 4.867
_cell_length_c 10.381
_cell_angle_alpha 90.00
_cell_angle_beta 90.00
_cell_angle_gamma 90.00
_symmetry_space_group_name_H-M 'I -4 2 d'
_symmetry_Int_Tables_number 122
_symmetry_space_group_name_Hall 'I -4 2bw'
loop_
_atom_site_label
_atom_site_type_symbol
_atom_site_fract_x
_atom_site_fract_y
_atom_site_fract_z
Cu1 Cu 0.141 0.250 0.125
Cl1 Cl 0.000 0.000 0.500
O1 O 0.000 0.000 0.000
```

Output
Energy above the most stable polymorph in this dataset: 0.000 eV/atom
Total energy: -67.27 eV/cell
Size of the total moment: 0.02 μB/cell
ΔE_f (raw): -0.455 eV per atom